# 1
This record from the Alexandria database describes a relaxed Ho5AlSb2 crystal. The functional is GGA-PBE.

Properties
Total DFT energy (no corrections) in eV/atom: -4.687
Theoretical density in kg/m³: 8032
Space group: Cmcm, No. 63
Calculated volume in A^3/atom: 28.3
M_tot in μB/f.u.: 0.00
Raw formation energy in eV/atom: -0.33

abc: 5.5725 6.3376 14.2763
angles: 90.00 90.00 116.08
Sites, in units of the cell vectors:
Ho1 0.9239 0.8479 0.9002
Ho2 0.9239 0.8479 0.5998
Ho3 0.3761 0.7522 0.4485
Ho4 0.3761 0.7522 0.0515
Ho5 0.5727 0.1454 0.2500
Ho6 0.4273 0.8546 0.7500
Ho7 0.6239 0.2478 0.5515
Ho8 0.6239 0.2478 0.9485
Ho9 0.0761 0.1521 0.0998
Ho10 0.0761 0.1521 0.4002
Al1 0.7178 0.4357 0.7500
Al2 0.2822 0.5643 0.2500
Sb1 0.7959 0.5919 0.3809
Sb2 0.7959 0.5919 0.1191
Sb3 0.2041 0.4081 0.6191
Sb4 0.2041 0.4081 0.8809


# 2
This record from the Alexandria database describes a relaxed Zr2Zn6Ir crystal. The functional is GGA-PBE.

Properties
Total DFT energy (no corrections) in eV/atom: -4.018
Theoretical density in kg/m³: 8679
Space group: P-3m1, No. 164
Calculated volume in A^3/atom: 16.3
M_tot in μB/f.u.: 0.00
Formation enthalpy at 0 K in eV per formula unit: -2.56

abc: 5.6316 5.4858 5.4858
angles: 60.00 90.00 90.00
Sites, in units of the cell vectors:
Zr1 0.8617 0.6666 0.6666
Zr2 0.1383 0.3334 0.3334
Zn1 0.3299 0.3583 0.8209
Zn2 0.3299 0.8209 0.8209
Zn3 0.3299 0.8209 0.3583
Zn4 0.6701 0.6417 0.1791
Zn5 0.6701 0.1791 0.1791
Zn6 0.6701 0.1791 0.6417
Ir1 0.0000 0.0000 0.0000


# 3
This record from the Alexandria database describes a relaxed Pm6Ho12In crystal. The functional is GGA-PBE.

Properties
Total DFT energy (no corrections) in eV/atom: -4.468
Theoretical density in kg/m³: 8079
Space group: R-3, No. 148
Calculated volume in A^3/atom: 32.1
M_tot in μB/f.u.: 0.00
Formation enthalpy at 0 K in eV per formula unit: 1.29

abc: 8.4787 8.4787 8.4787
angles: 89.00 89.00 89.00
Sites, in units of the cell vectors:
Pm1 0.7406 0.9078 0.3039
Pm2 0.6961 0.2594 0.0922
Pm3 0.0922 0.6961 0.2594
Pm4 0.2594 0.0922 0.6961
Pm5 0.3039 0.7406 0.9078
Pm6 0.9078 0.3039 0.7406
Ho1 0.7774 0.5391 0.4357
Ho2 0.4357 0.7774 0.5391
Ho3 0.5391 0.4357 0.7774
Ho4 0.2226 0.4609 0.5643
Ho5 0.5643 0.2226 0.4609
Ho6 0.4609 0.5643 0.2226
Ho7 0.0130 0.1889 0.3583
Ho8 0.8111 0.6417 0.9870
Ho9 0.6417 0.9870 0.8111
Ho10 0.9870 0.8111 0.6417
Ho11 0.1889 0.3583 0.0130
Ho12 0.3583 0.0130 0.1889
In1 0.0000 0.0000 0.0000


# 4
This record from the Alexandria database describes a relaxed Nd2ErIn crystal. The functional is GGA-PBE.

Properties
Total DFT energy (no corrections) in eV/atom: -4.327
Theoretical density in kg/m³: 7486
Space group: P2_1/m, No. 11
Calculated volume in A^3/atom: 31.6
M_tot in μB/f.u.: 0.00
Formation enthalpy at 0 K in eV per formula unit: -0.47

abc: 4.7666 4.6657 11.6347
angles: 90.00 101.97 90.00
Sites, in units of the cell vectors:
Nd1 0.5752 0.2500 0.1485
Nd2 0.4248 0.7500 0.8515
Nd3 0.0617 0.7500 0.1221
Nd4 0.9383 0.2500 0.8779
Er1 0.6974 0.7500 0.3916
Er2 0.3026 0.2500 0.6084
In1 0.1707 0.2500 0.3379
In2 0.8293 0.7500 0.6621


Q: Which of these has the highest calculated volume?
A: Pm6Ho12In


What did the fourth record say?
This record from the Alexandria database describes a relaxed Nd2ErIn crystal. The functional is GGA-PBE.

Properties
Total DFT energy (no corrections) in eV/atom: -4.327
Theoretical density in kg/m³: 7486
Space group: P2_1/m, No. 11
Calculated volume in A^3/atom: 31.6
M_tot in μB/f.u.: 0.00
Formation enthalpy at 0 K in eV per formula unit: -0.47

abc: 4.7666 4.6657 11.6347
angles: 90.00 101.97 90.00
Sites, in units of the cell vectors:
Nd1 0.5752 0.2500 0.1485
Nd2 0.4248 0.7500 0.8515
Nd3 0.0617 0.7500 0.1221
Nd4 0.9383 0.2500 0.8779
Er1 0.6974 0.7500 0.3916
Er2 0.3026 0.2500 0.6084
In1 0.1707 0.2500 0.3379
In2 0.8293 0.7500 0.6621


Q: Number 2 is which compound?
A: Zr2Zn6Ir


Q: Which value of calculated volume does entry 3 give?
A: 32.1 A^3/atom